VASP calculation (PBE-GGA) on a relaxed structure of DyGaHg.

Cell: 4.6916 4.6916 4.6916 Å, 60.00 60.00 60.00°
Positions (direct):
Ga: 0.2500 0.2500 0.2500
Dy: 0.5000 0.5000 0.5000
Hg: 0.0000 0.0000 0.0000

## Properties
* calculated formation energy: -0.406 eV/atom
* theoretical density: 9.8 g/cm³
* space-group type: No. 216
* total magnetization: 0.0 Bohr magnetons per cell